(1)
Density functional theory data (GGA-PBE) for ZrCr2H after structural relaxation.

electronic total energy = -6.655 eV per atom
total magnetization = 5.5 μB/f.u.

Cell and atoms, written as POSCAR:
```
ZrCr2H
1.0
0.000 3.084 3.084
3.084 0.000 3.084
3.084 3.084 0.000
Cr Zr H
2 1 1
Cartesian
1.542 1.542 1.542
4.626 4.626 4.626
3.084 3.084 3.084
0.000 0.000 0.000
```

(2)
Density functional theory data (GGA-PBE) for InPOsS2 after structural relaxation.

electronic total energy = -3.732 eV per atom
total magnetization = 3.3 μB/f.u.
energy relative to the elements, uncorrected = 1.795 eV per atom

Cell and atoms, written as POSCAR:
```
InPOsS2
1.0
-1.626 0.377 -4.592
4.563 -0.545 -1.660
-0.662 -5.002 -0.177
P S Os In
1 2 1 1
Cartesian
-0.331 -2.501 -0.088
2.282 -0.272 -0.830
-0.813 0.189 -2.296
1.138 -2.585 -3.215
0.000 0.000 0.000
```

(3)
Density functional theory data (GGA-PBE) for RbInGe after structural relaxation.

electronic total energy = -2.881 eV per atom
total magnetization = 0.0 μB/f.u.
DFT formation energy = -0.106 eV/atom

Cell and atoms, written as POSCAR:
```
RbInGe
1.0
-6.936 2.882 2.828
-6.342 -0.197 -3.971
-0.155 -3.418 3.104
Ge Rb In
2 2 2
Cartesian
-6.543 1.422 0.990
-8.694 2.303 1.853
-5.632 -1.265 -1.923
-9.166 -1.508 1.072
-5.469 -0.782 2.055
-2.987 -1.794 1.064
```

(4)
Density functional theory data (GGA-PBE) for Ba2HoW2N6 after structural relaxation.

electronic total energy = -8.420 eV per atom
total magnetization = 1.0 μB/f.u.
energy relative to the elements, uncorrected = -0.758 eV per atom

Cell and atoms, written as POSCAR:
```
Ba2HoW2N6
1.0
6.231 0.000 0.000
-3.115 5.444 -0.363
0.000 -3.531 6.374
Ba Ho W N
2 1 2 6
Cartesian
3.115 1.654 1.028
0.000 0.259 4.984
3.115 -1.765 3.187
3.115 2.194 4.668
0.000 -0.281 1.344
3.115 0.547 3.835
-1.586 4.145 1.147
1.530 -2.232 4.865
4.701 -2.232 4.865
1.586 4.145 1.147
0.000 1.366 2.176
```

(5)
Density functional theory data (GGA-PBE) for MgBe2Cd2Pt5 after structural relaxation.

electronic total energy = -4.677 eV per atom
total magnetization = 0.0 μB/f.u.
DFT formation energy = -0.569 eV/atom

Cell and atoms, written as POSCAR:
```
MgBe2Cd2Pt5
1.0
3.452 0.000 0.000
0.000 9.373 0.000
0.000 0.000 9.373
Mg Be Cd Pt
2 4 4 10
Cartesian
0.000 0.000 0.000
0.000 4.686 4.686
0.000 1.173 5.859
0.000 8.200 3.514
0.000 5.859 8.200
0.000 3.514 1.173
0.000 6.330 1.643
0.000 3.043 7.729
0.000 1.643 3.043
0.000 7.729 6.330
1.726 1.980 0.669
1.726 7.393 8.704
1.726 0.669 7.393
1.726 6.666 4.017
1.726 8.704 1.980
1.726 2.706 5.355
1.726 5.355 6.666
1.726 4.017 2.706
1.726 4.686 0.000
1.726 0.000 4.686
```

(6)
Density functional theory data (GGA-PBE) for RbPbC2O6 after structural relaxation.

electronic total energy = -6.697 eV per atom
total magnetization = 0.0 μB/f.u.
energy relative to the elements, uncorrected = -1.410 eV per atom

Cell and atoms, written as POSCAR:
```
RbPbC2O6
1.0
6.935 0.178 -0.007
-0.673 6.905 -0.007
-1.856 -2.099 6.816
Rb Pb C O
2 2 4 12
Cartesian
-0.353 5.688 1.697
4.760 -0.703 5.104
3.794 2.020 1.697
0.613 2.964 5.104
1.134 -0.440 5.185
4.054 2.863 5.024
3.273 5.424 1.616
0.353 2.121 1.777
6.193 1.859 1.213
4.248 -0.341 2.180
-1.786 3.125 5.588
0.159 5.325 4.621
1.430 1.542 1.320
3.979 4.425 2.073
2.977 3.442 5.481
0.428 0.559 4.728
0.365 3.047 2.660
2.356 5.298 0.734
4.042 1.937 4.141
2.051 -0.314 6.067
```

(7)
Density functional theory data (GGA-PBE) for Tl2CuI4 after structural relaxation.

electronic total energy = -2.557 eV per atom
total magnetization = 0.0 μB/f.u.
energy relative to the elements, uncorrected = -0.410 eV per atom

Cell and atoms, written as POSCAR:
```
Tl2CuI4
1.0
6.920 0.000 0.000
0.000 8.087 -2.333
0.000 -0.168 9.941
I Tl Cu
8 4 2
Cartesian
3.504 3.900 6.128
1.730 7.214 -1.379
5.190 0.705 8.987
6.876 3.900 6.128
5.190 0.619 3.511
0.044 4.019 1.480
3.416 4.019 1.480
1.730 7.300 4.097
1.730 1.698 8.769
5.190 6.221 -1.160
5.190 6.353 3.879
1.730 1.566 3.729
1.730 5.778 6.266
5.190 2.141 1.342
```

(8)
Density functional theory data (GGA-PBE) for ThSO after structural relaxation.

electronic total energy = -8.396 eV per atom
total magnetization = 0.0 μB/f.u.
energy relative to the elements, uncorrected = -2.895 eV per atom

Cell and atoms, written as POSCAR:
```
ThSO
1.0
-2.607 3.148 -0.866
-2.813 -1.729 2.183
2.521 2.550 1.679
S O Th
1 1 1
Cartesian
-0.995 3.222 1.270
-0.435 0.525 -0.144
-1.470 0.221 1.871
```

(9)
Density functional theory data (GGA-PBE) for Pm6Rh5 after structural relaxation.

electronic total energy = -6.570 eV per atom
total magnetization = 0.0 μB/f.u.
DFT formation energy = -0.637 eV/atom

Cell and atoms, written as POSCAR:
```
Pm6Rh5
1.0
4.678 0.000 1.637
0.000 7.059 0.000
-0.096 0.000 7.814
Pm Rh
6 5
Cartesian
2.339 1.778 0.818
2.244 5.281 8.632
0.714 1.770 5.487
0.714 5.290 5.487
3.869 5.290 3.963
3.869 1.770 3.963
0.000 3.530 0.000
1.534 0.000 3.134
3.048 7.060 6.316
3.079 3.530 6.229
1.503 3.530 3.221
```

(10)
Density functional theory data (GGA-PBE) for FeCo2 after structural relaxation.

electronic total energy = -7.516 eV per atom
total magnetization = 5.8 μB/f.u.
DFT formation energy = 0.042 eV/atom

Cell and atoms, written as POSCAR:
```
FeCo2
1.0
2.513 0.000 0.000
-1.256 2.176 0.000
0.000 0.000 6.166
Co Fe
2 1
Cartesian
1.256 0.725 4.082
0.000 1.451 2.084
0.000 0.000 0.000
```

(11)
Density functional theory data (GGA-PBE) for Sc3AlO after structural relaxation.

electronic total energy = -5.620 eV per atom
total magnetization = 0.0 μB/f.u.
energy relative to the elements, uncorrected = -0.081 eV per atom

Cell and atoms, written as POSCAR:
```
Sc3AlO
1.0
-4.086 0.886 0.211
1.302 -3.965 0.331
1.074 1.547 14.302
Sc Al O
6 2 2
Cartesian
0.269 0.387 3.575
0.806 1.160 10.726
0.511 -0.901 13.670
0.113 -1.475 8.365
-1.822 -0.058 6.479
-2.221 -0.631 1.174
0.312 -1.188 11.018
-2.021 -0.344 3.827
0.000 0.000 0.000
0.537 0.773 7.151
```

(12)
Density functional theory data (GGA-PBE) for LaFeTc after structural relaxation.

electronic total energy = -7.747 eV per atom
total magnetization = 0.4 μB/f.u.
DFT formation energy = 0.172 eV/atom

Cell and atoms, written as POSCAR:
```
LaFeTc
1.0
-3.264 4.898 -1.810
-1.888 -5.455 2.145
3.128 -1.707 5.030
La Fe Tc
2 2 2
Cartesian
0.746 -3.711 5.319
-2.770 1.447 0.046
1.564 -0.853 2.515
-1.012 -1.132 2.682
0.037 0.386 1.215
-2.061 -2.650 4.149
```